The following is a PBE-GGA calculation of a relaxed structure of BaHfPd2, from OQMD via LeMat-Bulk. Values from VASP.

Computed properties:
SG: F-43m (216)
Crystal system: cubic
Calculated total energy: -21.8 eV/f.u.
Magnetization: 0.0 μB/f.u.

```
&SYSTEM
  ibrav = 0, nat = 4, ntyp = 3
/
ATOMIC_SPECIES
Ba 137.33 Ba.upf
Hf 178.49 Hf.upf
Pd 106.42 Pd.upf
CELL_PARAMETERS angstrom
0.000 3.462 3.462
3.462 0.000 3.462
3.462 3.462 0.000
ATOMIC_POSITIONS crystal
Ba 0.500 0.500 0.500
Hf 0.250 0.250 0.250
Pd 0.000 0.000 0.000
Pd 0.750 0.750 0.750
```

***

The following is a PBE-GGA calculation of a relaxed structure of Ba2HfPdS6, from OQMD via LeMat-Bulk. Values from VASP.

Computed properties:
SG: Fm-3m (225)
Crystal system: cubic
Calculated total energy: -56.0 eV/f.u.
Magnetization: 0.0 μB/f.u.

```
&SYSTEM
  ibrav = 0, nat = 10, ntyp = 4
/
ATOMIC_SPECIES
Ba 137.33 Ba.upf
Hf 178.49 Hf.upf
Pd 106.42 Pd.upf
S 32.06 S.upf
CELL_PARAMETERS angstrom
-5.428 3.788 2.084
-2.548 -5.505 3.371
-1.518 0.466 6.755
ATOMIC_POSITIONS crystal
Ba 0.250 0.750 0.500
Ba 0.750 0.250 0.500
Hf 0.500 0.500 0.000
Pd 0.000 0.000 0.000
S 0.246 0.246 0.000
S 0.754 0.246 0.000
S 0.246 0.754 0.000
S 0.754 0.754 0.000
S 0.754 0.754 0.492
S 0.246 0.246 0.508
```